(1)
The following is a DFT calculation (PBE) of a geometry-optimized Li2Mn4Cl9 structure.

Computed properties:
Total energy (eV/atom): -4.948
E_form (uncorrected) (meV/atom): -1139
Size of the total moment (μB/f.u.): 9.5

Unit cell a=6.400 b=6.406 c=17.545 alpha=90.24 beta=90.20 gamma=119.90
Space group P-1 (No. 2)
Inequivalent atoms, fractional coordinates:
Li 0.003 0.003 0.156 x2
Li 0.004 0.010 0.341 x2
Mn 0.316 0.658 0.513 x2
Mn 0.330 0.663 0.828 x2
Mn 0.333 0.667 0.003 x2
Mn 0.340 0.674 0.316 x2
Cl 0.003 0.323 0.251 x2
Cl 0.008 0.346 0.916 x2
Cl 0.024 0.670 0.415 x2
Cl 0.313 0.314 0.749 x2
Cl 0.325 0.008 0.251 x2
Cl 0.336 0.989 0.917 x2
Cl 0.341 0.364 0.417 x2
Cl 0.348 0.339 0.083 x2
Cl 0.352 0.016 0.582 x2

---

(2)
The following is a DFT calculation (PBE) of a geometry-optimized LaMn4Os structure.

Computed properties:
Total energy (eV/atom): -8.344
E_form (eV/atom): 0.46
Size of the total moment (μB/f.u.): 8.1

Unit cell a=7.106 b=7.106 c=7.106 alpha=90.00 beta=90.00 gamma=90.00
Space group F-43m (No. 216)
Inequivalent atoms, fractional coordinates:
La 0.000 0.000 0.000 x4
Mn 0.123 0.123 0.623 x16
Os 0.250 0.250 0.250 x4

---

(3)
The following is a DFT calculation (PBE) of a geometry-optimized ErSi2Ir structure.

Computed properties:
Total energy (eV/atom): -6.968
E_form (uncorrected) (meV/atom): -901
Size of the total moment (μB/f.u.): 0.0

Unit cell a=5.841 b=10.085 c=5.621 alpha=90.00 beta=121.22 gamma=90.00
Space group C2/c (No. 15)
Inequivalent atoms, fractional coordinates:
Er 0.000 0.122 0.250 x4
Si 0.091 0.393 0.092 x8
Ir 0.000 0.219 0.750 x4